Compound: RbCeH2S2O9
Source: the Alexandria database
Functional: PBE
Structure: relaxed

Results
* symmetry: P2_1/c
* N(E_F): 28.84 states/eV/cell
* total DFT energy (no corrections): -376.85 eV/cell

Cell and atoms, written as POSCAR:
```
RbCeH2S2O9
1.0
8.863 0.000 0.000
0.000 10.351 0.042
0.000 5.141 9.321
Rb Ce H S O
4 4 8 8 36
Cartesian
1.680 3.845 2.901
6.111 9.077 1.801
7.183 11.648 6.462
2.752 6.416 7.562
7.467 7.744 9.083
3.035 10.319 4.940
1.396 7.748 0.280
5.827 5.174 4.423
4.621 3.199 0.746
0.190 9.723 3.957
4.242 12.294 8.617
8.673 5.770 5.407
4.493 8.914 8.606
0.062 9.150 5.418
4.369 6.579 0.757
8.801 6.343 3.946
7.280 5.524 1.102
2.849 7.398 3.601
1.583 9.969 8.261
6.014 8.095 5.762
7.724 4.781 7.669
3.292 13.282 6.355
1.139 10.711 1.695
5.570 2.211 3.008
7.977 4.285 1.573
3.545 8.637 3.130
0.886 11.208 7.790
5.317 6.856 6.233
6.731 10.361 9.076
2.299 7.702 4.948
2.132 5.131 0.287
6.563 7.791 4.415
8.209 6.682 1.065
3.778 6.240 3.638
0.654 8.811 8.298
5.085 9.253 5.725
6.178 5.872 2.051
1.746 7.050 2.652
2.685 9.621 7.312
7.116 8.442 6.711
8.676 5.857 7.251
4.244 12.206 6.773
0.187 9.636 2.112
4.618 3.286 2.591
6.796 5.393 8.678
2.365 12.670 5.346
2.066 10.099 0.685
6.498 2.823 4.018
8.424 13.976 8.328
3.993 4.088 5.696
0.439 1.517 1.036
4.870 11.405 3.667
6.959 4.284 6.496
2.527 13.779 7.528
1.904 11.208 2.868
6.335 1.714 1.835
4.839 8.153 9.116
0.408 9.910 4.908
4.023 7.340 0.247
8.455 5.583 4.456
```